No. 1
Computed, not measured: a relaxed SrY2Zr crystal at the PBE-GGA level of DFT.

## Properties
Space-group type = Pmmm, No. 47
E_form = 0.204 eV per atom
Energy above the lowest structure with this stoichiometry = 0.890 kcal/mol of atoms
Crystal system = orthorhombic
Uncorrected energy = -5.59 eV/atom
Size of the total moment = 0.000 μB/f.u.

Unit cell a=4.4400 b=3.6124 c=9.1404 alpha=66.76 beta=90.00 gamma=90.00
Element x y z (fractional)
1 Sr 0.5000 0.7500 0.7500
2 Y 0.0000 0.9465 0.0534
3 Y 0.0000 0.5535 0.4466
4 Zr 0.5000 0.2500 0.2500

No. 2
Computed, not measured: a relaxed SrY2Zr crystal at the PBE-GGA level of DFT.

## Properties
Space-group type = P4mm, No. 99
E_form = 0.256 eV per atom
Energy above the lowest structure with this stoichiometry = 2.095 kcal/mol of atoms
Crystal system = tetragonal
Uncorrected energy = -5.53 eV/atom
Size of the total moment = 0.002 μB/f.u.

Unit cell a=3.4985 b=3.4985 c=10.6543 alpha=90.00 beta=90.00 gamma=90.02
Element x y z (fractional)
1 Sr 0.5000 0.5000 0.7338
2 Y 0.0000 0.0000 0.0214
3 Y 0.5000 0.5000 0.2710
4 Zr 0.0000 0.0000 0.4738

What did the second record say?
Computed, not measured: a relaxed SrY2Zr crystal at the PBE-GGA level of DFT.

## Properties
Space-group type = P4mm, No. 99
E_form = 0.256 eV per atom
Energy above the lowest structure with this stoichiometry = 2.095 kcal/mol of atoms
Crystal system = tetragonal
Uncorrected energy = -5.53 eV/atom
Size of the total moment = 0.002 μB/f.u.

Unit cell a=3.4985 b=3.4985 c=10.6543 alpha=90.00 beta=90.00 gamma=90.02
Element x y z (fractional)
1 Sr 0.5000 0.5000 0.7338
2 Y 0.0000 0.0000 0.0214
3 Y 0.5000 0.5000 0.2710
4 Zr 0.0000 0.0000 0.4738